Density functional theory data (PBE) for a relaxed K2CeNdO4 crystal.

abc: 3.647 6.313 6.642
angles: 108.50 90.00 90.00
Site moments in Bohr magnetons follow the coordinates.
Fractional positions:
K: 0.000 0.500 0.500  0.01
K: 0.500 0.000 0.500  0.00
O: 0.000 0.272 0.810  -0.01
O: 0.500 0.232 0.191  -0.01
O: 0.500 0.768 0.809  -0.01
O: 0.000 0.728 0.190  -0.01
Ce: 0.500 0.500 0.000  0.87
Nd: 0.000 0.000 0.000  0.03

Volume = 18.1 Å³ per atom
Formation energy from raw total energies = -2598 meV/atom
Symmetry = P2/m (10)
Magnetization = 1.0 μB/cell
E = -0.2458 hartree per atom


Density functional theory data (PBE) for a relaxed K3Ce3NdS8 crystal.

abc: 8.351 8.351 8.848
angles: 118.16 90.00 120.00
Site moments in Bohr magnetons follow the coordinates.
Fractional positions:
S: 0.234 0.964 0.698  -0.01
S: 0.265 0.531 0.296  -0.02
S: 0.234 0.469 0.698  -0.01
S: 0.730 0.964 0.698  -0.01
S: 0.766 0.531 0.302  -0.01
S: 0.735 0.469 0.704  -0.02
S: 0.766 0.036 0.302  -0.01
S: 0.270 0.036 0.302  -0.01
Ce: 0.000 0.500 0.500  0.69
Ce: 0.500 0.500 0.500  0.69
Ce: 0.500 0.000 0.500  0.69
K: 0.000 0.000 0.000  0.00
K: 0.500 0.500 0.000  0.00
K: 0.000 0.500 0.000  0.00
Nd: 0.000 0.000 0.500  0.00

Volume = 29.9 Å³ per atom
Formation energy from raw total energies = -1823 meV/atom
Symmetry = R-3m (166)
Magnetization = 2.0 μB/cell
E = -0.2113 hartree per atom


Density functional theory data (PBE) for a relaxed KCe2NdS4 crystal.

abc: 4.093 7.188 7.193
angles: 71.02 90.00 90.00
Site moments in Bohr magnetons follow the coordinates.
Fractional positions:
S: 0.500 0.757 0.255  -0.02
S: 0.000 0.232 0.267  -0.02
S: 0.000 0.768 0.733  -0.02
S: 0.500 0.243 0.745  -0.02
Ce: 0.500 0.000 0.500  0.90
Ce: 0.000 0.000 0.000  0.98
K: 0.500 0.500 0.000  0.00
Nd: 0.000 0.500 0.500  0.05

Volume = 25.0 Å³ per atom
Formation energy from raw total energies = -1859 meV/atom
Symmetry = P2/m (10)
Magnetization = 2.3 μB/cell
E = -0.2256 hartree per atom


Density functional theory data (PBE) for a relaxed K3Ce2NdS6 crystal.

abc: 7.295 7.295 7.759
angles: 99.02 99.02 120.00
Site moments in Bohr magnetons follow the coordinates.
Fractional positions:
S: 0.265 0.265 0.793  -0.01
S: 0.931 0.597 0.793  -0.01
S: 0.403 0.069 0.207  -0.01
S: 0.597 0.931 0.793  -0.01
S: 0.069 0.403 0.207  -0.01
S: 0.735 0.735 0.207  -0.01
Ce: 0.333 0.667 0.000  0.93
Ce: 0.667 0.333 0.000  0.93
K: 0.834 0.166 0.500  0.00
K: 0.500 0.500 0.500  0.00
K: 0.166 0.834 0.500  0.00
Nd: 0.000 0.000 0.000  0.02

Volume = 28.3 Å³ per atom
Formation energy from raw total energies = -1810 meV/atom
Symmetry = C2/m (12)
Magnetization = 2.0 μB/cell
E = -0.2034 hartree per atom


Density functional theory data (PBE) for a relaxed K4CeNd3S8 crystal.

abc: 8.412 8.838 8.412
angles: 118.43 120.00 90.00
Site moments in Bohr magnetons follow the coordinates.
Fractional positions:
Nd: 0.000 0.500 0.500  0.01
Nd: 0.500 0.500 0.000  0.01
Nd: 0.500 0.500 0.500  0.01
S: 0.264 0.293 0.029  -0.01
S: 0.736 0.707 0.971  -0.01
S: 0.236 0.707 0.471  -0.01
S: 0.764 0.293 0.029  -0.01
S: 0.736 0.708 0.472  0.00
S: 0.236 0.707 0.971  -0.01
S: 0.764 0.293 0.529  -0.01
S: 0.264 0.292 0.528  0.00
K: 0.000 0.000 0.000  0.00
K: 0.500 0.000 0.000  0.00
K: 0.500 0.000 0.500  0.00
K: 0.000 0.000 0.500  0.00
Ce: 0.000 0.500 0.000  0.92

Volume = 28.3 Å³ per atom
Formation energy from raw total energies = -1835 meV/atom
Symmetry = R-3m (166)
Magnetization = 1.0 μB/cell
E = -0.1998 hartree per atom


Density functional theory data (PBE) for a relaxed K2CeNdSe4 crystal.

abc: 4.371 7.564 8.085
angles: 108.18 90.00 90.00
Site moments in Bohr magnetons follow the coordinates.
Fractional positions:
Se: 0.500 0.237 0.211  -0.01
Se: 0.000 0.737 0.210  -0.01
Se: 0.500 0.763 0.789  -0.01
Se: 0.000 0.263 0.790  -0.01
K: 0.500 0.000 0.500  0.00
K: 0.000 0.500 0.500  0.00
Nd: 0.000 0.000 0.000  0.01
Ce: 0.500 0.500 0.000  0.96

Volume = 31.7 Å³ per atom
Formation energy from raw total energies = -1721 meV/atom
Symmetry = P2/m (10)
Magnetization = 1.0 μB/cell
E = -0.1865 hartree per atom


Density functional theory data (PBE) for a relaxed K3CeNd3Se8 crystal.

abc: 8.631 8.633 9.260
angles: 117.80 90.00 120.00
Fractional positions:
Se: 0.737 0.474 0.711
Se: 0.229 0.459 0.702
Se: 0.771 0.541 0.298
Se: 0.263 0.526 0.289
Se: 0.744 0.973 0.702
Se: 0.229 0.973 0.702
Se: 0.771 0.027 0.298
Se: 0.256 0.027 0.298
K: 0.000 0.000 0.000
K: 0.500 0.500 0.000
K: 0.000 0.500 0.000
Nd: 0.500 0.500 0.500
Nd: 0.500 0.000 0.500
Nd: 0.000 0.500 0.500
Ce: 0.000 0.000 0.500

Volume = 33.6 Å³ per atom
Formation energy from raw total energies = -1725 meV/atom
Symmetry = R-3m (166)
Magnetization = 0.0 μB/cell
E = -0.1893 hartree per atom


Density functional theory data (PBE) for a relaxed K3Ce3NdSe8 crystal.

abc: 8.650 8.650 9.208
angles: 118.01 90.00 120.00
Site moments in Bohr magnetons follow the coordinates.
Fractional positions:
Se: 0.763 0.527 0.296  -0.02
Se: 0.731 0.967 0.704  -0.02
Se: 0.764 0.033 0.296  -0.02
Se: 0.236 0.967 0.704  -0.02
Se: 0.264 0.528 0.292  -0.02
Se: 0.237 0.473 0.704  -0.02
Se: 0.736 0.472 0.708  -0.02
Se: 0.269 0.033 0.296  -0.02
K: 0.000 0.000 0.000  0.00
K: 0.000 0.500 0.000  0.00
K: 0.500 0.500 0.000  0.00
Ce: 0.000 0.500 0.500  0.70
Ce: 0.500 0.500 0.500  0.70
Ce: 0.500 0.000 0.500  0.70
Nd: 0.000 0.000 0.500  0.00

Volume = 33.4 Å³ per atom
Formation energy from raw total energies = -1711 meV/atom
Symmetry = R-3m (166)
Magnetization = 2.0 μB/cell
E = -0.1945 hartree per atom


Density functional theory data (PBE) for a relaxed K3Ce2NdSe6 crystal.

abc: 7.573 7.573 8.082
angles: 98.97 98.97 120.01
Site moments in Bohr magnetons follow the coordinates.
Fractional positions:
K: 0.834 0.166 0.500  0.00
K: 0.166 0.834 0.500  0.00
K: 0.500 0.500 0.500  0.00
Ce: 0.333 0.667 0.000  0.96
Ce: 0.667 0.333 0.000  0.96
Se: 0.403 0.070 0.210  -0.01
Se: 0.737 0.737 0.210  -0.01
Se: 0.070 0.403 0.210  -0.01
Se: 0.597 0.930 0.790  -0.01
Se: 0.930 0.597 0.790  -0.01
Se: 0.263 0.263 0.790  -0.01
Nd: 0.000 0.000 0.000  0.01

Volume = 31.8 Å³ per atom
Formation energy from raw total energies = -1711 meV/atom
Symmetry = C2/m (12)
Magnetization = 2.0 μB/cell
E = -0.1879 hartree per atom


Density functional theory data (PBE) for a relaxed KCe2NdSe4 crystal.

abc: 4.258 7.489 7.486
angles: 71.11 90.00 90.00
Site moments in Bohr magnetons follow the coordinates.
Fractional positions:
Se: 0.500 0.755 0.255  -0.01
Se: 0.500 0.245 0.745  -0.01
Se: 0.000 0.764 0.735  -0.02
Se: 0.000 0.236 0.265  -0.02
Ce: 0.000 0.000 0.000  1.04
Ce: 0.500 0.000 0.500  0.97
Nd: 0.000 0.500 0.500  0.04
K: 0.500 0.500 0.000  0.00

Volume = 28.2 Å³ per atom
Formation energy from raw total energies = -1717 meV/atom
Symmetry = P2/m (10)
Magnetization = 2.4 μB/cell
E = -0.2086 hartree per atom


Density functional theory data (PBE) for a relaxed K4Ce3NdSe8 crystal.

abc: 8.748 9.191 8.747
angles: 118.43 120.00 90.00
Site moments in Bohr magnetons follow the coordinates.
Fractional positions:
K: 0.500 0.000 0.000  0.00
K: 0.500 0.000 0.500  0.00
K: 0.000 0.000 0.500  0.00
K: 0.000 0.000 0.000  0.00
Se: 0.763 0.290 0.026  -0.01
Se: 0.263 0.291 0.527  -0.02
Se: 0.737 0.709 0.473  -0.02
Se: 0.237 0.710 0.974  -0.01
Se: 0.263 0.290 0.026  -0.01
Se: 0.763 0.290 0.527  -0.01
Se: 0.737 0.710 0.974  -0.01
Se: 0.237 0.710 0.473  -0.01
Ce: 0.000 0.500 0.500  0.96
Ce: 0.500 0.500 0.000  0.96
Ce: 0.500 0.500 0.500  0.96
Nd: 0.000 0.500 0.000  0.02

Volume = 31.8 Å³ per atom
Formation energy from raw total energies = -1705 meV/atom
Symmetry = R-3m (166)
Magnetization = 3.0 μB/cell
E = -0.1886 hartree per atom


Density functional theory data (PBE) for a relaxed K4CeNd3Se8 crystal.

abc: 8.723 9.197 8.724
angles: 118.33 120.00 90.00
Site moments in Bohr magnetons follow the coordinates.
Fractional positions:
Se: 0.737 0.710 0.974  -0.01
Se: 0.237 0.710 0.974  -0.01
Se: 0.263 0.290 0.026  -0.01
Se: 0.237 0.710 0.474  -0.01
Se: 0.737 0.711 0.474  0.00
Se: 0.263 0.289 0.526  0.00
Se: 0.763 0.290 0.526  -0.01
Se: 0.763 0.290 0.026  -0.01
K: 0.000 0.000 0.500  0.00
K: 0.500 0.000 0.500  0.00
K: 0.000 0.000 0.000  0.00
K: 0.500 0.000 0.000  0.00
Nd: 0.500 0.500 0.500  0.01
Nd: 0.000 0.500 0.500  0.01
Nd: 0.500 0.500 0.000  0.01
Ce: 0.000 0.500 0.000  0.95

Volume = 31.7 Å³ per atom
Formation energy from raw total energies = -1737 meV/atom
Symmetry = R-3m (166)
Magnetization = 1.0 μB/cell
E = -0.1844 hartree per atom


Density functional theory data (PBE) for a relaxed K3Ce2NdTe6 crystal.

abc: 8.051 8.051 8.655
angles: 98.92 98.92 120.00
Site moments in Bohr magnetons follow the coordinates.
Fractional positions:
K: 0.166 0.834 0.500  0.00
K: 0.500 0.500 0.500  0.00
K: 0.834 0.166 0.500  0.00
Te: 0.071 0.404 0.214  -0.01
Te: 0.404 0.071 0.214  -0.01
Te: 0.929 0.596 0.786  -0.01
Te: 0.596 0.929 0.786  -0.01
Te: 0.261 0.261 0.786  -0.01
Te: 0.739 0.739 0.214  -0.01
Ce: 0.333 0.667 0.000  0.98
Ce: 0.667 0.333 0.000  0.98
Nd: 0.000 0.000 0.000  0.01

Volume = 38.5 Å³ per atom
Formation energy from raw total energies = -1370 meV/atom
Symmetry = C2/m (12)
Magnetization = 2.0 μB/cell
E = -0.1691 hartree per atom


Density functional theory data (PBE) for a relaxed K3CeNd2Te6 crystal.

abc: 8.031 8.031 8.673
angles: 98.88 98.88 120.00
Site moments in Bohr magnetons follow the coordinates.
Fractional positions:
K: 0.167 0.833 0.500  0.00
K: 0.833 0.167 0.500  0.00
K: 0.500 0.500 0.500  0.00
Te: 0.737 0.737 0.215  -0.01
Te: 0.594 0.929 0.786  -0.01
Te: 0.406 0.071 0.214  -0.01
Te: 0.071 0.406 0.214  -0.01
Te: 0.929 0.594 0.786  -0.01
Te: 0.263 0.263 0.785  -0.01
Nd: 0.667 0.333 0.000  0.01
Nd: 0.333 0.667 0.000  0.01
Ce: 0.000 0.000 0.000  0.98

Volume = 38.4 Å³ per atom
Formation energy from raw total energies = -1391 meV/atom
Symmetry = C2/m (12)
Magnetization = 1.0 μB/cell
E = -0.1663 hartree per atom


Density functional theory data (PBE) for a relaxed K4CeNd3Te8 crystal.

abc: 9.266 9.834 9.266
angles: 118.12 120.00 90.00
Site moments in Bohr magnetons follow the coordinates.
Fractional positions:
Te: 0.761 0.285 0.523  -0.01
Te: 0.239 0.715 0.976  -0.01
Te: 0.738 0.715 0.476  0.00
Te: 0.262 0.285 0.524  0.00
Te: 0.263 0.285 0.024  -0.01
Te: 0.239 0.715 0.477  -0.01
Te: 0.737 0.715 0.976  -0.01
Te: 0.761 0.285 0.024  -0.01
Nd: 0.500 0.500 0.500  0.00
Nd: 0.000 0.500 0.500  0.00
Nd: 0.500 0.500 0.000  0.00
K: 0.500 0.000 0.500  0.00
K: 0.000 0.000 0.000  0.00
K: 0.500 0.000 0.000  0.00
K: 0.000 0.000 0.500  0.00
Ce: 0.000 0.500 0.000  0.98

Volume = 38.3 Å³ per atom
Formation energy from raw total energies = -1398 meV/atom
Symmetry = R-3m (166)
Magnetization = 1.0 μB/cell
E = -0.1657 hartree per atom


Density functional theory data (PBE) for a relaxed KCe2Nd3Te6 crystal.

abc: 4.497 9.227 10.197
angles: 103.49 102.74 90.00
Site moments in Bohr magnetons follow the coordinates.
Fractional positions:
Nd: 0.163 0.825 0.325  0.02
Nd: 0.837 0.175 0.675  0.02
Nd: 0.500 0.500 0.000  0.00
Te: 0.003 0.261 0.005  0.00
Te: 0.328 0.916 0.657  -0.01
Te: 0.666 0.583 0.331  -0.01
Te: 0.672 0.084 0.343  -0.01
Te: 0.334 0.417 0.669  -0.01
Te: 0.997 0.739 0.995  0.00
Ce: 0.169 0.339 0.338  1.03
Ce: 0.831 0.661 0.662  1.03
K: 0.500 0.000 0.000  0.00

Volume = 33.4 Å³ per atom
Formation energy from raw total energies = -1381 meV/atom
Symmetry = C2/m (12)
Magnetization = 2.5 μB/cell
E = -0.1920 hartree per atom


Density functional theory data (PBE) for a relaxed KCe3Nd2Te6 crystal.

abc: 4.508 9.205 10.201
angles: 103.22 102.76 90.00
Site moments in Bohr magnetons follow the coordinates.
Fractional positions:
Ce: 0.164 0.830 0.328  1.04
Ce: 0.500 0.500 0.000  0.96
Ce: 0.836 0.170 0.672  1.04
Te: 0.665 0.585 0.330  -0.01
Te: 0.003 0.263 0.006  -0.02
Te: 0.329 0.912 0.657  -0.01
Te: 0.671 0.088 0.343  -0.01
Te: 0.335 0.415 0.670  -0.01
Te: 0.997 0.737 0.994  -0.02
K: 0.500 0.000 0.000  0.00
Nd: 0.171 0.343 0.341  0.00
Nd: 0.829 0.657 0.659  0.00

Volume = 33.4 Å³ per atom
Formation energy from raw total energies = -1360 meV/atom
Symmetry = C2/m (12)
Magnetization = 3.5 μB/cell
E = -0.1948 hartree per atom


Density functional theory data (PBE) for a relaxed KCe2NdTe4 crystal.

abc: 4.534 7.988 7.982
angles: 71.23 90.00 90.00
Site moments in Bohr magnetons follow the coordinates.
Fractional positions:
K: 0.500 0.500 0.000  0.00
Ce: 0.500 0.000 0.500  1.03
Ce: 0.000 0.000 0.000  1.09
Te: 0.000 0.238 0.263  -0.02
Te: 0.000 0.762 0.737  -0.02
Te: 0.500 0.246 0.745  -0.01
Te: 0.500 0.754 0.255  -0.01
Nd: 0.000 0.500 0.500  0.03

Volume = 34.2 Å³ per atom
Formation energy from raw total energies = -1339 meV/atom
Symmetry = P2/m (10)
Magnetization = 2.5 μB/cell
E = -0.1884 hartree per atom